Entry 1:
Compound: AlOsPt2
Source: the Alexandria database
Functional: GGA-PBE
Structure: optimized geometry

Computed properties:
- symmetry = I-4m2 (119)
- total magnetic moment (μB/cell) = 0.00
- VASP energy (eV per atom) = -6.9896
- ΔE_f (eV per formula unit) = -0.90
- calculated volume (Å³/cell) = 59.5

a = 4.699 Å, b = 4.699 Å, c = 4.699 Å
α = 129.96°, β = 129.96°, γ = 73.47°
Atoms (fractional coordinates):
Os 0.750 0.250 0.500
Pt 0.250 0.750 0.500
Pt 0.000 0.000 0.000
Al 0.500 0.500 0.000

Entry 2:
Compound: ZrAl3Tc
Source: the Alexandria database
Functional: GGA-PBE
Structure: optimized geometry

Computed properties:
- symmetry = Pm-3m (221)
- total magnetic moment (μB/cell) = 0.00
- energy relative to the lowest polymorph listed for this composition (meV/atom) = 0.0
- VASP energy (eV per atom) = -5.9022
- ΔE_f (eV per formula unit) = 0.63
- calculated volume (Å³/cell) = 98.8

a = 4.624 Å, b = 4.624 Å, c = 4.624 Å
α = 90.00°, β = 90.00°, γ = 90.00°
Atoms (fractional coordinates):
Tc 0.000 0.000 0.000
Al 0.000 0.000 0.500
Al 0.000 0.500 0.000
Al 0.500 0.000 0.000
Zr 0.500 0.500 0.500

Entry 3:
Compound: Ac6Rh2SI3
Source: the Alexandria database
Functional: GGA-PBE
Structure: optimized geometry

Computed properties:
- symmetry = C2/m (12)
- total magnetic moment (μB/cell) = 0.00
- VASP energy (eV per atom) = -5.1623
- uncorrected formation energy (eV per formula unit) = -13.817
- calculated volume (Å³/cell) = 436.5

a = 7.680 Å, b = 7.680 Å, c = 8.917 Å
α = 98.22°, β = 98.22°, γ = 120.00°
Atoms (fractional coordinates):
Rh 0.667 0.333 0.000
Rh 0.333 0.667 0.000
Ac 0.411 0.063 0.187
Ac 0.063 0.411 0.187
Ac 0.714 0.714 0.187
Ac 0.286 0.286 0.813
Ac 0.589 0.937 0.813
Ac 0.937 0.589 0.813
I 0.165 0.835 0.500
I 0.500 0.500 0.500
I 0.835 0.165 0.500
S 0.000 0.000 0.000

Entry 4:
Compound: Mg7Sn5
Source: the Alexandria database
Functional: GGA-PBE
Structure: optimized geometry

Computed properties:
- symmetry = C2/m (12)
- total magnetic moment (μB/cell) = 0.00
- VASP energy (eV per atom) = -2.6774
- ΔE_f (eV per formula unit) = -0.95
- calculated volume (Å³/cell) = 316.0

a = 3.335 Å, b = 8.173 Å, c = 12.445 Å
α = 107.53°, β = 90.00°, γ = 101.77°
Atoms (fractional coordinates):
Sn 0.699 0.398 0.804
Sn 0.301 0.602 0.196
Sn 0.000 0.000 0.000
Sn 0.111 0.223 0.398
Sn 0.889 0.777 0.602
Mg 0.235 0.471 0.624
Mg 0.500 0.000 0.500
Mg 0.336 0.672 0.972
Mg 0.765 0.529 0.376
Mg 0.042 0.084 0.790
Mg 0.664 0.328 0.028
Mg 0.958 0.916 0.210

Entry 5:
Compound: KPtSe2
Source: the Alexandria database
Functional: GGA-PBE
Structure: optimized geometry

Computed properties:
- symmetry = P4mm (99)
- total magnetic moment (μB/cell) = 0.00
- VASP energy (eV per atom) = -3.7024
- uncorrected formation energy (eV per formula unit) = -0.702
- calculated volume (Å³/cell) = 105.9

a = 3.416 Å, b = 3.416 Å, c = 9.076 Å
α = 90.00°, β = 90.00°, γ = 90.00°
Atoms (fractional coordinates):
Se 0.000 0.000 0.899
Se 0.500 0.500 0.268
Pt 0.500 0.500 0.820
K 0.000 0.000 0.514

Entry 6:
Compound: YHo3Hg2
Source: the Alexandria database
Functional: GGA-PBE
Structure: optimized geometry

Computed properties:
- symmetry = Ibam (72)
- total magnetic moment (μB/cell) = 0.03
- energy relative to the lowest polymorph listed for this composition (meV/atom) = 272.8
- VASP energy (eV per atom) = -3.5672
- ΔE_f (eV per formula unit) = -0.60
- calculated volume (Å³/cell) = 379.1

a = 7.056 Å, b = 7.453 Å, c = 8.850 Å
α = 114.91°, β = 113.49°, γ = 90.00°
Atoms (fractional coordinates):
Ho 0.500 0.250 0.000
Ho 0.228 0.478 0.457
Ho 0.500 0.750 0.000
Ho 0.772 0.522 0.543
Ho 0.228 0.978 0.457
Ho 0.772 0.022 0.543
Hg 0.839 0.140 0.281
Hg 0.442 0.640 0.281
Hg 0.161 0.860 0.719
Hg 0.558 0.360 0.719
Y 0.000 0.000 0.000
Y 0.000 0.500 0.000

Entry 7:
Compound: La4Tb7Pm2
Source: the Alexandria database
Functional: GGA-PBE
Structure: optimized geometry

Computed properties:
- symmetry = P-1 (2)
- total magnetic moment (μB/cell) = 0.00
- VASP energy (eV per atom) = -4.7170
- ΔE_f (eV per formula unit) = 0.30
- calculated volume (Å³/cell) = 440.9

a = 8.130 Å, b = 9.606 Å, c = 6.281 Å
α = 96.26°, β = 97.34°, γ = 65.23°
Atoms (fractional coordinates):
Pm 0.306 0.616 0.153
Pm 0.694 0.384 0.847
Tb 0.847 0.691 0.924
Tb 0.462 0.922 0.229
Tb 0.000 0.000 0.000
Tb 0.229 0.461 0.618
Tb 0.771 0.539 0.382
Tb 0.538 0.078 0.771
Tb 0.153 0.309 0.076
La 0.613 0.232 0.308
La 0.387 0.768 0.692
La 0.922 0.847 0.464
La 0.078 0.153 0.536

Entry 8:
Compound: La5Pm2Rh5
Source: the Alexandria database
Functional: GGA-PBE
Structure: optimized geometry

Computed properties:
- symmetry = C2/m (12)
- total magnetic moment (μB/cell) = 0.00
- VASP energy (eV per atom) = -6.5667
- ΔE_f (eV per formula unit) = -7.90
- calculated volume (Å³/cell) = 329.0

a = 4.052 Å, b = 7.109 Å, c = 12.573 Å
α = 71.94°, β = 80.73°, γ = 73.44°
Atoms (fractional coordinates):
La 0.654 0.740 0.951
La 0.739 0.878 0.644
La 0.261 0.122 0.356
La 0.500 0.500 0.500
La 0.346 0.260 0.049
Rh 0.884 0.805 0.426
Rh 0.304 0.582 0.810
Rh 0.696 0.418 0.190
Rh 0.000 0.000 0.000
Rh 0.116 0.195 0.574
Pm 0.960 0.296 0.784
Pm 0.040 0.704 0.216